A relaxed structure of Tb15Pm2Dy2, computed with PBE.

Energy of formation, meV per atom: 291

Lattice parameters (Å, degrees): 8.7498 8.7498 8.7498 78.95 78.95 78.95
Closest atoms and distances in Å follow each position.
Positions (direct):
Tb 0.0000 0.0000 0.5000  8 Tb 3.35-3.42, 2 Pm 3.47
Tb 0.0000 0.3007 0.6993  6 Tb 3.26-3.42
Tb 0.0000 0.5000 0.0000  8 Tb 3.35-3.42, 2 Pm 3.47
Tb 0.0000 0.6993 0.3007  6 Tb 3.26-3.42
Tb 0.1515 0.6251 0.6251  6 Tb 3.26-3.35
Tb 0.3007 0.0000 0.6993  6 Tb 3.26-3.42
Tb 0.3007 0.6993 0.0000  6 Tb 3.26-3.42
Tb 0.3749 0.3749 0.8485  6 Tb 3.26-3.35
Tb 0.3749 0.8485 0.3749  6 Tb 3.26-3.35
Tb 0.5000 0.0000 0.0000  8 Tb 3.35-3.42, 2 Pm 3.47
Tb 0.6251 0.1515 0.6251  6 Tb 3.26-3.35
Tb 0.6251 0.6251 0.1515  6 Tb 3.26-3.35
Tb 0.6993 0.0000 0.3007  6 Tb 3.26-3.42
Tb 0.6993 0.3007 0.0000  6 Tb 3.26-3.42
Tb 0.8485 0.3749 0.3749  6 Tb 3.26-3.35
Pm 0.0934 0.0934 0.0934  1 Pm 3.33, 3 Tb 3.47
Pm 0.9066 0.9066 0.9066  1 Pm 3.33, 3 Tb 3.47
Dy 0.3215 0.3215 0.3215  15 Tb 3.91-4.23, 1 Pm 4.07
Dy 0.6785 0.6785 0.6785  15 Tb 3.91-4.23, 1 Pm 4.07

***

A relaxed structure of Tb2Pm5Dy12, computed with PBE.

Energy of formation, meV per atom: 18
E above lowest polymorph, eV/f.u.: 0.00

Lattice parameters (Å, degrees): 6.1856 9.4555 10.7186 101.00 95.54 90.05
Closest atoms and distances in Å follow each position.
Positions (direct):
Tb 0.0798 0.3174 0.4738  1 Tb 3.55, 9 Dy 3.55-3.58, 2 Pm 3.59
Tb 0.9202 0.6826 0.5262  1 Tb 3.55, 9 Dy 3.55-3.58, 2 Pm 3.59
Pm 0.2369 0.9473 0.4211  2 Pm 3.57, 8 Dy 3.57-3.58, 2 Tb 3.59
Pm 0.3419 0.3684 0.0532  10 Dy 3.56-3.59, 2 Pm 3.57-3.58
Pm 0.5000 0.0000 0.0000  10 Dy 3.57-3.58, 2 Pm 3.57
Pm 0.6581 0.6316 0.9468  10 Dy 3.56-3.59, 2 Pm 3.57-3.58
Pm 0.7631 0.0527 0.5789  2 Pm 3.57, 8 Dy 3.57-3.58, 2 Tb 3.59
Dy 0.0258 0.1057 0.1582  7 Dy 3.57-3.58, 4 Pm 3.57-3.58, 1 Tb 3.57
Dy 0.1309 0.5264 0.7885  2 Tb 3.55-3.56, 7 Dy 3.56-3.58, 3 Pm 3.57-3.59
Dy 0.1832 0.7368 0.1050  5 Pm 3.56-3.58, 7 Dy 3.56-3.59
Dy 0.2892 0.1588 0.7369  6 Dy 3.56-3.59, 5 Pm 3.57-3.58, 1 Tb 3.58
Dy 0.3954 0.5786 0.3690  7 Dy 3.55-3.59, 3 Tb 3.56-3.57, 2 Pm 3.57-3.58
Dy 0.4463 0.7881 0.6835  6 Dy 3.55-3.59, 2 Tb 3.57, 4 Pm 3.57-3.58
Dy 0.5537 0.2119 0.3165  6 Dy 3.55-3.59, 2 Tb 3.57, 4 Pm 3.57-3.58
Dy 0.6046 0.4214 0.6310  7 Dy 3.55-3.59, 3 Tb 3.56-3.57, 2 Pm 3.57-3.58
Dy 0.7108 0.8412 0.2631  6 Dy 3.56-3.59, 5 Pm 3.57-3.58, 1 Tb 3.58
Dy 0.8168 0.2632 0.8950  5 Pm 3.56-3.58, 7 Dy 3.56-3.59
Dy 0.8691 0.4736 0.2115  2 Tb 3.55-3.56, 7 Dy 3.56-3.58, 3 Pm 3.57-3.59
Dy 0.9742 0.8943 0.8418  7 Dy 3.57-3.58, 4 Pm 3.57-3.58, 1 Tb 3.57

***

A relaxed structure of Tb5Pm3Dy3, computed with PBE.

Energy of formation, meV per atom: 801

Lattice parameters (Å, degrees): 9.6744 9.6744 5.4522 90.00 90.00 120.00
Closest atoms and distances in Å follow each position.
Positions (direct):
Tb 0.0000 0.7328 0.0000  2 Pm 3.16, 2 Dy 3.27
Tb 0.2672 0.2672 0.0000  2 Pm 3.16, 2 Dy 3.27
Tb 0.3333 0.6667 0.0000  3 Pm 3.09
Tb 0.6667 0.3333 0.0000  3 Pm 3.09
Tb 0.7328 0.0000 0.0000  2 Pm 3.16, 2 Dy 3.27
Pm 0.0000 0.3640 0.0000  4 Tb 3.09-3.16, 2 Dy 3.25
Pm 0.3640 0.0000 0.0000  4 Tb 3.09-3.16, 2 Dy 3.25
Pm 0.6360 0.6360 0.0000  4 Tb 3.09-3.16, 2 Dy 3.25
Dy 0.0000 0.5465 0.5000  2 Pm 3.25, 2 Tb 3.27
Dy 0.4535 0.4535 0.5000  2 Pm 3.25, 2 Tb 3.27
Dy 0.5465 0.0000 0.5000  2 Pm 3.25, 2 Tb 3.27

***

A relaxed structure of Tb3Pm6Dy2, computed with PBE.

Energy of formation, meV per atom: 15
E above lowest polymorph, eV/f.u.: 0.00

Lattice parameters (Å, degrees): 3.6034 6.2419 16.9224 90.13 90.04 106.69
Closest atoms and distances in Å follow each position.
Positions (direct):
Tb 0.0000 0.0000 0.0000  2 Tb 3.60, 10 Pm 3.61-3.62
Tb 0.0915 0.1825 0.3634  7 Pm 3.59-3.61, 3 Dy 3.59-3.61, 2 Tb 3.60
Tb 0.9085 0.8175 0.6366  7 Pm 3.59-3.61, 3 Dy 3.59-3.61, 2 Tb 3.60
Pm 0.2725 0.5455 0.0919  7 Pm 3.59-3.64, 2 Dy 3.60, 3 Tb 3.61-3.62
Pm 0.3639 0.7280 0.4545  2 Dy 3.59-3.60, 5 Pm 3.59-3.62, 5 Tb 3.60-3.61
Pm 0.4550 0.9111 0.8170  4 Tb 3.59-3.62, 5 Pm 3.59-3.62, 3 Dy 3.60-3.61
Pm 0.5450 0.0889 0.1830  4 Tb 3.59-3.62, 5 Pm 3.59-3.62, 3 Dy 3.60-3.61
Pm 0.6361 0.2720 0.5455  2 Dy 3.59-3.60, 5 Pm 3.59-3.62, 5 Tb 3.60-3.61
Pm 0.7275 0.4545 0.9081  7 Pm 3.59-3.64, 2 Dy 3.60, 3 Tb 3.61-3.62
Dy 0.1823 0.3654 0.7264  3 Tb 3.59-3.61, 7 Pm 3.59-3.61, 2 Dy 3.60
Dy 0.8177 0.6346 0.2736  3 Tb 3.59-3.61, 7 Pm 3.59-3.61, 2 Dy 3.60

***

A relaxed structure of Tb5Pm5Dy, computed with PBE.

Energy of formation, meV per atom: 330
E above lowest polymorph, eV/f.u.: 2.08

Lattice parameters (Å, degrees): 6.1423 6.1423 11.5268 90.00 90.00 120.00
Closest atoms and distances in Å follow each position.
Positions (direct):
Tb 0.0000 0.0000 0.0000  2 Pm 3.03
Tb 0.3333 0.6667 0.3188  9 Pm 3.60-3.71, 1 Dy 3.67, 3 Tb 4.00
Tb 0.3333 0.6667 0.6812  9 Pm 3.60-3.71, 1 Dy 3.67, 3 Tb 4.00
Tb 0.6667 0.3333 0.1579  7 Tb 3.64-4.00, 3 Pm 3.75, 3 Dy 3.99
Tb 0.6667 0.3333 0.8421  7 Tb 3.64-4.00, 3 Pm 3.75, 3 Dy 3.99
Pm 0.0000 0.0000 0.2630  1 Tb 3.03, 3 Pm 3.28
Pm 0.0000 0.0000 0.7370  1 Tb 3.03, 3 Pm 3.28
Pm 0.3398 0.1699 0.5000  6 Pm 3.01-3.28
Pm 0.8301 0.1699 0.5000  6 Pm 3.01-3.28
Pm 0.8301 0.6602 0.5000  6 Pm 3.01-3.28
Dy 0.3333 0.6667 0.0000  5 Tb 3.55-3.67

***

A relaxed structure of TbPm4Dy, computed with PBE.

Energy of formation, meV per atom: 13
E above lowest polymorph, eV/f.u.: 0.00

Lattice parameters (Å, degrees): 3.6176 5.1074 10.8502 90.00 90.00 90.00
Closest atoms and distances in Å follow each position.
Positions (direct):
Tb 0.0000 0.0000 0.0000  10 Pm 3.61-3.62, 2 Tb 3.62
Pm 0.0000 0.0000 0.3339  7 Pm 3.60-3.62, 4 Dy 3.61, 1 Tb 3.62
Pm 0.0000 0.0000 0.6661  7 Pm 3.60-3.62, 4 Dy 3.61, 1 Tb 3.62
Pm 0.5000 0.5000 0.1663  7 Pm 3.61-3.62, 4 Tb 3.61, 1 Dy 3.62
Pm 0.5000 0.5000 0.8337  7 Pm 3.61-3.62, 4 Tb 3.61, 1 Dy 3.62
Dy 0.5000 0.5000 0.5000  10 Pm 3.61-3.62, 2 Dy 3.62

***

A relaxed structure of Tb7Pm2Dy3, computed with PBE.

Energy of formation, meV per atom: 74
E above lowest polymorph, eV/f.u.: 0.00

Lattice parameters (Å, degrees): 6.3515 3.5261 17.4903 90.00 96.14 90.00
Closest atoms and distances in Å follow each position.
Positions (direct):
Tb 0.0000 0.0000 0.0000  8 Tb 3.51-3.58, 4 Dy 3.63
Tb 0.2279 0.5000 0.1671  1 Pm 3.50, 8 Tb 3.53-3.64, 3 Dy 3.55-3.68
Tb 0.2562 0.5000 0.4985  2 Tb 3.09-3.26, 2 Pm 3.41
Tb 0.2739 0.0000 0.8359  2 Pm 3.51, 7 Tb 3.51-3.64, 3 Dy 3.54-3.72
Tb 0.7261 0.0000 0.1641  2 Pm 3.51, 7 Tb 3.51-3.64, 3 Dy 3.54-3.72
Tb 0.7438 0.5000 0.5015  2 Tb 3.09-3.26, 2 Pm 3.41
Tb 0.7721 0.5000 0.8329  1 Pm 3.50, 8 Tb 3.53-3.64, 3 Dy 3.55-3.68
Pm 0.0582 0.5000 0.6724  5 Tb 3.41-3.51, 2 Pm 3.53, 4 Dy 3.60-3.68
Pm 0.9418 0.5000 0.3276  5 Tb 3.41-3.51, 2 Pm 3.53, 4 Dy 3.60-3.68
Dy 0.4526 0.0000 0.3417  2 Dy 3.53, 7 Tb 3.59-3.72, 4 Pm 3.60-3.68
Dy 0.5000 0.5000 0.0000  2 Dy 3.53, 10 Tb 3.54-3.63
Dy 0.5474 0.0000 0.6583  2 Dy 3.53, 7 Tb 3.59-3.72, 4 Pm 3.60-3.68

***

A relaxed structure of Tb7PmDy2, computed with PBE.

Energy of formation, meV per atom: 16
E above lowest polymorph, eV/f.u.: 0.00

Lattice parameters (Å, degrees): 6.1665 6.1761 9.4355 102.63 109.00 99.66
Closest atoms and distances in Å follow each position.
Positions (direct):
Tb 0.0000 0.0000 0.0000  4 Dy 3.56, 8 Tb 3.56-3.57
Tb 0.2004 0.5007 0.9006  3 Dy 3.55-3.56, 8 Tb 3.55-3.57, 1 Pm 3.57
Tb 0.2006 0.0004 0.3995  3 Dy 3.56-3.58, 7 Tb 3.56-3.57, 2 Pm 3.57
Tb 0.3994 0.4997 0.2987  8 Tb 3.55-3.59, 2 Dy 3.56-3.57, 2 Pm 3.57
Tb 0.6006 0.5003 0.7013  8 Tb 3.55-3.59, 2 Dy 3.56-3.57, 2 Pm 3.57
Tb 0.7994 0.9996 0.6005  3 Dy 3.56-3.58, 7 Tb 3.56-3.57, 2 Pm 3.57
Tb 0.7996 0.4993 0.0994  3 Dy 3.55-3.56, 8 Tb 3.55-3.57, 1 Pm 3.57
Pm 0.0000 0.5000 0.5000  10 Tb 3.57, 2 Dy 3.57
Dy 0.4003 0.0010 0.8008  10 Tb 3.55-3.58, 1 Dy 3.56, 1 Pm 3.57
Dy 0.5997 0.9990 0.1992  10 Tb 3.55-3.58, 1 Dy 3.56, 1 Pm 3.57

***

Q: The lowest energy of formation belongs to which entry?
A: TbPm4Dy

***

Q: Which of these has the lowest energy of formation?
A: TbPm4Dy

***

Q: Among the records above, which one has the lowest energy of formation?
A: TbPm4Dy